# Sr3Li5Ag6 (GGA-PBE, optimized geometry)
# - Total DFT energy (no corrections): -2.47 eV/atom
# - Calculated formation energy: -207 meV per atom
# - M_tot: 0.000 μB per cell
data_Sr3Li5Ag6
_chemical_formula_sum 'Sr6 Li10 Ag12'
_cell_length_a 4.669
_cell_length_b 13.904
_cell_length_c 10.057
_cell_angle_alpha 90.00
_cell_angle_beta 90.00
_cell_angle_gamma 90.00
_symmetry_space_group_name_H-M 'P m m n'
_symmetry_Int_Tables_number 59
loop_
_symmetry_equiv_pos_as_xyz
'x,y,z'
'-x,-y,-z'
'-x+1/2,-y+1/2,z'
'x+1/2,y+1/2,-z'
'x+1/2,-y,-z'
'-x+1/2,y,z'
'-x,y+1/2,-z'
'x,-y+1/2,z'
loop_
_atom_site_label
_atom_site_fract_x
_atom_site_fract_y
_atom_site_fract_z
Sr1 0.250 0.060 0.248
Sr2 0.250 0.750 0.248
Li1 0.250 0.071 0.907
Li2 0.250 0.616 0.522
Li3 0.250 0.750 0.758
Ag1 0.250 0.080 0.618
Ag2 0.250 0.250 0.033
Ag3 0.250 0.250 0.458
Ag4 0.250 0.625 0.973

=====

# Sr2Li6Ag3 (GGA-PBE, optimized geometry)
# - Total DFT energy (no corrections): -2.26 eV/atom
# - Calculated formation energy: -129 meV per atom
# - M_tot: 0.000 μB per cell
data_Sr2Li6Ag3
_chemical_formula_sum 'Sr2 Li6 Ag3'
_cell_length_a 8.4474
_cell_length_b 8.4474
_cell_length_c 4.3107
_cell_angle_alpha 90.00
_cell_angle_beta 90.00
_cell_angle_gamma 120.00
_symmetry_space_group_name_H-M 'P -6 2 m'
_symmetry_Int_Tables_number 189
_symmetry_space_group_name_Hall 'P -6 -2'
loop_
_atom_site_label
_atom_site_fract_x
_atom_site_fract_y
_atom_site_fract_z
Sr1 0.3333 0.6667 0.0000
Li1 0.0000 0.1993 0.0000
Li2 0.0000 0.7301 0.5000
Ag1 0.0000 0.3876 0.5000

=====

# Sr2LiAg (GGA-PBE, optimized geometry)
# - Total DFT energy (no corrections): -2.05 eV/atom
# - Calculated formation energy: -16 meV per atom
# - M_tot: 0.000 μB per cell
data_Sr2LiAg
_chemical_formula_sum 'Sr4 Li2 Ag2'
_cell_length_a 7.859
_cell_length_b 4.414
_cell_length_c 9.384
_cell_angle_alpha 90.00
_cell_angle_beta 104.76
_cell_angle_gamma 90.00
_symmetry_space_group_name_H-M 'C 1 2/m 1'
_symmetry_Int_Tables_number 12
loop_
_symmetry_equiv_pos_as_xyz
'x,y,z'
'-x,-y,-z'
'-x,y,-z'
'x,-y,z'
'x+1/2,y+1/2,z'
'-x+1/2,-y+1/2,-z'
'-x+1/2,y+1/2,-z'
'x+1/2,-y+1/2,z'
loop_
_atom_site_label
_atom_site_fract_x
_atom_site_fract_y
_atom_site_fract_z
Sr1 0.234 0.000 0.209
Li1 0.000 0.000 0.500
Ag1 0.000 0.500 0.000

=====

# Sr3LiAg2 (GGA-PBE, optimized geometry)
# - Total DFT energy (no corrections): -2.33 eV/atom
# - Calculated formation energy: -217 meV per atom
# - M_tot: 0.000 μB per cell
data_Sr3LiAg2
_chemical_formula_sum 'Sr12 Li4 Ag8'
_cell_length_a 12.953
_cell_length_b 4.646
_cell_length_c 13.263
_cell_angle_alpha 90.00
_cell_angle_beta 90.00
_cell_angle_gamma 90.00
_symmetry_space_group_name_H-M 'P n m a'
_symmetry_Int_Tables_number 62
loop_
_symmetry_equiv_pos_as_xyz
'x,y,z'
'-x,-y,-z'
'-x+1/2,-y,z+1/2'
'x+1/2,y,-z+1/2'
'x+1/2,-y+1/2,-z+1/2'
'-x+1/2,y+1/2,z+1/2'
'-x,y+1/2,-z'
'x,-y+1/2,z'
loop_
_atom_site_label
_atom_site_fract_x
_atom_site_fract_y
_atom_site_fract_z
Sr1 0.056 0.250 0.123
Sr2 0.125 0.750 0.563
Sr3 0.202 0.250 0.806
Li1 0.125 0.250 0.373
Ag1 0.029 0.750 0.318
Ag2 0.193 0.750 0.990

=====

| no. | DOS(E_F) (states/eV per atom) |
| --- | --- |
| 1 | 0.368 |
| 2 | 0.511 |
| 3 | 0.714 |
| 4 | 0.435 |